! PBE ZnRuPt2Cl, relaxed; values from VASP
! calculated total energy	-3.663	eV per atom
! raw formation energy	595	kJ/mol of formula units
&SYSTEM
  ibrav = 0, nat = 5, ntyp = 4
/
ATOMIC_SPECIES
Pt 195.08 Pt.upf
Zn 65.41 Zn.upf
Cl 35.45 Cl.upf
Ru 101.07 Ru.upf
CELL_PARAMETERS angstrom
4.664 0.000 0.000
0.000 4.831 0.000
0.000 0.000 4.664
ATOMIC_POSITIONS crystal
Pt 0.500 0.000 0.000
Zn 0.000 0.000 0.000
Cl 0.500 0.500 0.500
Ru 0.000 0.500 0.000
Pt 0.000 0.000 0.500